Entry 1:
VASP calculation (PBE-GGA) on LaZr2Te2 after structural relaxation.

Formation energy without anion corrections ... -83 kJ per mole of atoms
DFT total energy ... -0.2396 hartree per atom
ρ ... 7.04 g cm⁻³

CIF file:
```
data_LaZr2Te2
_cell_length_a 4.192
_cell_length_b 4.192
_cell_length_c 15.470
_cell_angle_alpha 90.00
_cell_angle_beta 90.00
_cell_angle_gamma 90.00
_symmetry_space_group_name_H-M 'I 4/m m m'
_symmetry_Int_Tables_number 139
_symmetry_space_group_name_Hall '-I 4 2'
loop_
_atom_site_label
_atom_site_type_symbol
_atom_site_fract_x
_atom_site_fract_y
_atom_site_fract_z
La1 La 0.000 0.000 0.000
Zr1 Zr 0.000 0.500 0.250
Te1 Te 0.000 0.000 0.388
```



Entry 2:
VASP calculation (PBE-GGA) on La2ZrTe after structural relaxation.

Formation energy without anion corrections ... -26 kJ per mole of atoms
DFT total energy ... -0.2079 hartree per atom
ρ ... 6.94 g cm⁻³

CIF file:
```
data_La2ZrTe
_cell_length_a 11.273
_cell_length_b 3.799
_cell_length_c 5.643
_cell_angle_alpha 90.00
_cell_angle_beta 100.56
_cell_angle_gamma 90.00
_symmetry_space_group_name_H-M 'C 1 2/m 1'
_symmetry_Int_Tables_number 12
_symmetry_space_group_name_Hall '-C 2y'
loop_
_atom_site_label
_atom_site_type_symbol
_atom_site_fract_x
_atom_site_fract_y
_atom_site_fract_z
La1 La 0.229 0.000 0.230
Zr1 Zr 0.000 0.000 0.500
Te1 Te 0.000 0.500 0.000
```



Entry 3:
VASP calculation (PBE-GGA) on La2ZrTe after structural relaxation.

Formation energy without anion corrections ... -44 kJ per mole of atoms
DFT total energy ... -0.2146 hartree per atom
ρ ... 6.71 g cm⁻³

CIF file:
```
data_La2ZrTe
_cell_length_a 4.120
_cell_length_b 4.120
_cell_length_c 7.241
_cell_angle_alpha 90.00
_cell_angle_beta 90.00
_cell_angle_gamma 90.00
_symmetry_space_group_name_H-M 'P 4/m m m'
_symmetry_Int_Tables_number 123
_symmetry_space_group_name_Hall '-P 4 2'
loop_
_atom_site_label
_atom_site_type_symbol
_atom_site_fract_x
_atom_site_fract_y
_atom_site_fract_z
La1 La 0.000 0.000 0.243
Zr1 Zr 0.500 0.500 0.500
Te1 Te 0.500 0.500 0.000
```



Entry 4:
VASP calculation (PBE-GGA) on La2ZrTe after structural relaxation.

Formation energy without anion corrections ... -42 kJ per mole of atoms
DFT total energy ... -0.2141 hartree per atom
ρ ... 6.95 g cm⁻³

CIF file:
```
data_La2ZrTe
_cell_length_a 3.905
_cell_length_b 5.316
_cell_length_c 11.435
_cell_angle_alpha 90.00
_cell_angle_beta 90.00
_cell_angle_gamma 90.00
_symmetry_space_group_name_H-M 'I m m 2'
_symmetry_Int_Tables_number 44
_symmetry_space_group_name_Hall 'I 2 -2'
loop_
_atom_site_label
_atom_site_type_symbol
_atom_site_fract_x
_atom_site_fract_y
_atom_site_fract_z
La1 La 0.000 0.000 0.000
La2 La 0.000 0.500 0.234
Zr1 Zr 0.000 0.000 0.475
Te1 Te 0.000 0.500 0.779
```



Entry 5:
VASP calculation (PBE-GGA) on La2ZrTe after structural relaxation.

Formation energy without anion corrections ... -35 kJ per mole of atoms
DFT total energy ... -0.2113 hartree per atom
ρ ... 6.28 g cm⁻³

CIF file:
```
data_La2ZrTe
_cell_length_a 3.9073
_cell_length_b 3.9073
_cell_length_c 29.7899
_cell_angle_alpha 90.00
_cell_angle_beta 90.00
_cell_angle_gamma 120.00
_symmetry_space_group_name_H-M 'R -3 m'
_symmetry_Int_Tables_number 166
_symmetry_space_group_name_Hall '-R 3 2"'
loop_
_atom_site_label
_atom_site_type_symbol
_atom_site_fract_x
_atom_site_fract_y
_atom_site_fract_z
La1 La 0.0000 0.0000 0.2439
Zr1 Zr 0.0000 0.0000 0.0000
Te1 Te 0.0000 0.0000 0.5000
```



Entry 6:
VASP calculation (PBE-GGA) on LaZrTe2 after structural relaxation.

Formation energy without anion corrections ... -100 kJ per mole of atoms
DFT total energy ... -0.2196 hartree per atom
ρ ... 7.65 g cm⁻³

CIF file:
```
data_LaZrTe2
_cell_length_a 3.716
_cell_length_b 3.716
_cell_length_c 7.626
_cell_angle_alpha 90.00
_cell_angle_beta 90.00
_cell_angle_gamma 90.00
_symmetry_space_group_name_H-M 'P 4/m m m'
_symmetry_Int_Tables_number 123
_symmetry_space_group_name_Hall '-P 4 2'
loop_
_atom_site_label
_atom_site_type_symbol
_atom_site_fract_x
_atom_site_fract_y
_atom_site_fract_z
La1 La 0.000 0.000 0.000
Zr1 Zr 0.000 0.000 0.500
Te1 Te 0.500 0.500 0.275
```



Entry 7:
VASP calculation (PBE-GGA) on LaTh4 after structural relaxation.

DFT total energy ... -0.2523 hartree per atom
ρ ... 10.70 g cm⁻³
Energy relative to the elements ... 0.057 eV per atom

CIF file:
```
data_LaTh4
_cell_length_a 6.209
_cell_length_b 3.577
_cell_length_c 15.060
_cell_angle_alpha 90.00
_cell_angle_beta 97.95
_cell_angle_gamma 90.00
_symmetry_space_group_name_H-M 'C 1 2/m 1'
_symmetry_Int_Tables_number 12
_symmetry_space_group_name_Hall '-C 2y'
loop_
_atom_site_label
_atom_site_type_symbol
_atom_site_fract_x
_atom_site_fract_y
_atom_site_fract_z
La1 La 0.000 0.000 0.000
Th1 Th 0.135 0.000 0.401
Th2 Th 0.240 0.500 0.205
```



Entry 8:
VASP calculation (PBE-GGA) on La3Th2 after structural relaxation.

DFT total energy ... -0.2169 hartree per atom
ρ ... 8.48 g cm⁻³
Energy relative to the elements ... 0.022 eV per atom

CIF file:
```
data_La3Th2
_cell_length_a 3.6334
_cell_length_b 3.6334
_cell_length_c 45.2378
_cell_angle_alpha 90.00
_cell_angle_beta 90.00
_cell_angle_gamma 120.00
_symmetry_space_group_name_H-M 'R -3 m'
_symmetry_Int_Tables_number 166
_symmetry_space_group_name_Hall '-R 3 2"'
loop_
_atom_site_label
_atom_site_type_symbol
_atom_site_fract_x
_atom_site_fract_y
_atom_site_fract_z
La1 La 0.0000 0.0000 0.0000
La2 La 0.0000 0.0000 0.4036
Th1 Th 0.0000 0.0000 0.1981
```



Entry 9:
VASP calculation (PBE-GGA) on La8Th after structural relaxation.

DFT total energy ... -0.1908 hartree per atom
ρ ... 6.90 g cm⁻³
Energy relative to the elements ... 0.013 eV per atom

CIF file:
```
data_La8Th
_cell_length_a 11.114
_cell_length_b 11.114
_cell_length_c 5.236
_cell_angle_alpha 90.00
_cell_angle_beta 90.00
_cell_angle_gamma 90.00
_symmetry_space_group_name_H-M 'I 4/m m m'
_symmetry_Int_Tables_number 139
_symmetry_space_group_name_Hall '-I 4 2'
loop_
_atom_site_label
_atom_site_type_symbol
_atom_site_fract_x
_atom_site_fract_y
_atom_site_fract_z
La1 La 0.000 0.325 0.000
La2 La 0.159 0.159 0.500
Th1 Th 0.000 0.000 0.000
```



Entry 10:
VASP calculation (PBE-GGA) on LaTh5 after structural relaxation.

DFT total energy ... -0.2561 hartree per atom
ρ ... 11.10 g cm⁻³
Energy relative to the elements ... 0.035 eV per atom

CIF file:
```
data_LaTh5
_cell_length_a 5.058
_cell_length_b 15.201
_cell_length_c 5.057
_cell_angle_alpha 90.00
_cell_angle_beta 90.00
_cell_angle_gamma 90.00
_symmetry_space_group_name_H-M 'C m m m'
_symmetry_Int_Tables_number 65
_symmetry_space_group_name_Hall '-C 2 2'
loop_
_atom_site_label
_atom_site_type_symbol
_atom_site_fract_x
_atom_site_fract_y
_atom_site_fract_z
La1 La 0.000 0.000 0.000
Th1 Th 0.000 0.168 0.500
Th2 Th 0.000 0.332 0.000
Th3 Th 0.000 0.500 0.500
```



Entry 11:
VASP calculation (PBE-GGA) on La3Th2 after structural relaxation.

DFT total energy ... -0.2166 hartree per atom
ρ ... 8.49 g cm⁻³
Energy relative to the elements ... 0.032 eV per atom

CIF file:
```
data_La3Th2
_cell_length_a 3.6366
_cell_length_b 3.6366
_cell_length_c 45.1331
_cell_angle_alpha 90.00
_cell_angle_beta 90.00
_cell_angle_gamma 120.00
_symmetry_space_group_name_H-M 'R -3 m'
_symmetry_Int_Tables_number 166
_symmetry_space_group_name_Hall '-R 3 2"'
loop_
_atom_site_label
_atom_site_type_symbol
_atom_site_fract_x
_atom_site_fract_y
_atom_site_fract_z
La1 La 0.0000 0.0000 0.0000
La2 La 0.0000 0.0000 0.2037
Th1 Th 0.0000 0.0000 0.3992
```



Entry 12:
VASP calculation (PBE-GGA) on LaTh4 after structural relaxation.

DFT total energy ... -0.2198 hartree per atom
ρ ... 9.47 g cm⁻³
Energy relative to the elements ... 0.941 eV per atom

CIF file:
```
data_LaTh4
_cell_length_a 5.720
_cell_length_b 5.720
_cell_length_c 5.720
_cell_angle_alpha 90.00
_cell_angle_beta 90.00
_cell_angle_gamma 90.00
_symmetry_space_group_name_H-M 'P m -3 m'
_symmetry_Int_Tables_number 221
_symmetry_space_group_name_Hall '-P 4 2 3'
loop_
_atom_site_label
_atom_site_type_symbol
_atom_site_fract_x
_atom_site_fract_y
_atom_site_fract_z
La1 La 0.000 0.000 0.000
Th1 Th 0.000 0.000 0.500
Th2 Th 0.500 0.500 0.500
```



Entry 13:
VASP calculation (PBE-GGA) on La7Th after structural relaxation.

DFT total energy ... -0.1911 hartree per atom
ρ ... 6.94 g cm⁻³
Energy relative to the elements ... 0.038 eV per atom

CIF file:
```
data_La7Th
_cell_length_a 10.487
_cell_length_b 10.487
_cell_length_c 10.487
_cell_angle_alpha 90.00
_cell_angle_beta 90.00
_cell_angle_gamma 90.00
_symmetry_space_group_name_H-M 'F m -3 m'
_symmetry_Int_Tables_number 225
_symmetry_space_group_name_Hall '-F 4 2 3'
loop_
_atom_site_label
_atom_site_type_symbol
_atom_site_fract_x
_atom_site_fract_y
_atom_site_fract_z
La1 La 0.000 0.000 0.000
La2 La 0.000 0.250 0.250
Th1 Th 0.000 0.000 0.500
```



Entry 14:
VASP calculation (PBE-GGA) on LaTh8 after structural relaxation.

DFT total energy ... -0.2585 hartree per atom
ρ ... 11.29 g cm⁻³
Energy relative to the elements ... 0.109 eV per atom

CIF file:
```
data_LaTh8
_cell_length_a 12.818
_cell_length_b 12.818
_cell_length_c 3.572
_cell_angle_alpha 90.00
_cell_angle_beta 90.00
_cell_angle_gamma 90.00
_symmetry_space_group_name_H-M 'I 4/m m m'
_symmetry_Int_Tables_number 139
_symmetry_space_group_name_Hall '-I 4 2'
loop_
_atom_site_label
_atom_site_type_symbol
_atom_site_fract_x
_atom_site_fract_y
_atom_site_fract_z
La1 La 0.000 0.000 0.000
Th1 Th 0.000 0.334 0.000
Th2 Th 0.170 0.170 0.500
```



Entry 15:
VASP calculation (PBE-GGA) on La4Th5 after structural relaxation.

DFT total energy ... -0.2307 hartree per atom
ρ ... 9.39 g cm⁻³
Energy relative to the elements ... 0.035 eV per atom

CIF file:
```
data_La4Th5
_cell_length_a 10.902
_cell_length_b 10.902
_cell_length_c 5.107
_cell_angle_alpha 90.00
_cell_angle_beta 90.00
_cell_angle_gamma 90.00
_symmetry_space_group_name_H-M 'I 4/m m m'
_symmetry_Int_Tables_number 139
_symmetry_space_group_name_Hall '-I 4 2'
loop_
_atom_site_label
_atom_site_type_symbol
_atom_site_fract_x
_atom_site_fract_y
_atom_site_fract_z
La1 La 0.000 0.319 0.000
Th1 Th 0.000 0.000 0.000
Th2 Th 0.165 0.165 0.500
```